1.
Here is a PBEsol-optimized structure of CrFe4 from Alexandria via LeMat-Bulk. Energies are from SCAN.

The structure belongs to space group Fmmm (No. 69); the cell edges are 2.8084, 3.9016 and 19.7379 Å and the angles 90.00°, 90.00° and 90.00°. The asymmetric unit holds Cr at (0.0000, 0.0000, 0.0000), Fe at (0.0000, 0.0000, 0.1996) and Fe at (0.0000, 0.0000, 0.4005).

As for the calculated formation energy: 0.01 eV/atom. The value obtained for the spin magnetization is 1.7768 μB/atom. The calculation puts the density of states at the Fermi level at 0.584 states/eV per atom.

=====

2.
Here is a PBEsol-optimized structure of CrFe from Alexandria via LeMat-Bulk. Energies are from SCAN.

The structure belongs to space group Cmme (No. 67); the cell edges are 2.8380, 3.8972 and 7.8747 Å and the angles 90.00°, 90.00° and 90.00°. The asymmetric unit holds Cr at (0.0000, 0.2500, 0.1255) and Fe at (0.0000, 0.2500, 0.6249).

As for the calculated formation energy: 0.03 eV/atom. The value obtained for the spin magnetization is 1.0639 μB/atom. The calculation puts the density of states at the Fermi level at 0.662 states/eV per atom.

=====

3.
Here is a PBEsol-optimized structure of CrFe2 from Alexandria via LeMat-Bulk. Energies are from SCAN.

The structure belongs to space group P-3m1 (No. 164); the cell edges are 3.9505, 3.9505 and 2.3942 Å and the angles 90.00°, 90.00° and 120.00°. The asymmetric unit holds Cr at (0.0000, 0.0000, 0.0000) and Fe at (0.3333, 0.6667, 0.3304).

As for the calculated formation energy: 0.04 eV/atom. The value obtained for the spin magnetization is 1.2643 μB/atom. The calculation puts the density of states at the Fermi level at 0.744 states/eV per atom.

=====

4.
Here is a PBEsol-optimized structure of KCr2FeGe from Alexandria via LeMat-Bulk. Energies are from SCAN.

The structure belongs to space group P4/mmm (No. 123); the cell edges are 4.6243, 4.6243 and 4.3068 Å and the angles 90.00°, 90.00° and 90.00°. The asymmetric unit holds K at (0.0000, 0.0000, 0.0000), Cr at (0.0000, 0.5000, 0.0000), Fe at (0.0000, 0.0000, 0.5000) and Ge at (0.5000, 0.5000, 0.5000).

As for the calculated formation energy: 2.26 eV/atom. The value obtained for the spin magnetization is 2.2718 μB/atom. The calculation puts the density of states at the Fermi level at 0.675 states/eV per atom.

=====

5.
Here is a PBEsol-optimized structure of CrFeGe2N from Alexandria via LeMat-Bulk. Energies are from SCAN.

The structure belongs to space group P4/mmm (No. 123); the cell edges are 4.7115, 4.7115 and 3.4871 Å and the angles 90.00°, 90.00° and 90.00°. The asymmetric unit holds Cr at (0.0000, 0.0000, 0.0000), Fe at (0.5000, 0.5000, 0.5000), Ge at (0.0000, 0.5000, 0.0000) and N at (0.0000, 0.0000, 0.5000).

The uncorrected formation energy comes out at 662 meV per atom. The value obtained for the spin magnetization is 0.8276 μB/atom. The calculation puts the density of states at the Fermi level at 0.701 states/eV per atom.

=====

6.
Here is a PBEsol-optimized structure of CrFe3H from Alexandria via LeMat-Bulk. Energies are from SCAN.

The structure belongs to space group Pm-3m (No. 221); the cell edges are 3.5009, 3.5009 and 3.5009 Å and the angles 90.00°, 90.00° and 90.00°. The asymmetric unit holds Cr at (0.0000, 0.0000, 0.0000), Fe at (0.0000, 0.5000, 0.5000) and H at (0.5000, 0.5000, 0.5000).

The energy is -15.186 eV per atom. The value obtained for the spin magnetization is 0.5793 μB/atom. The calculation puts the density of states at the Fermi level at 0.394 states/eV per atom.